DyY2Bi, relaxed, DFT PBE-GGA; formation enthalpy at 0 K = -213 meV per atom; energy above the lowest structure with this stoichiometry = 202 meV per atom; total energy = -5.566 eV/atom; magnetization = 0.0000 μB/atom
1.0
1.821 1.052 10.850
-1.821 1.052 10.850
0.000 -2.103 10.850
Dy Y Bi
1 2 1
Cartesian
0.000 0.000 0.000 Dy
0.000 0.000 8.016 Y
0.000 0.000 24.534 Y
0.000 0.000 16.275 Bi